Entry 1:
# YCuNF2

YCuNF2 after structural relaxation (PBE-GGA, Alexandria via LeMat-Bulk).

abc: 4.284 4.284 4.746
angles: 90.00 90.00 90.00
Space group P4/mmm (No. 123)
Inequivalent atoms, fractional coordinates:
Y  0.000  0.000  0.000 (multiplicity 1)
Cu  0.500  0.500  0.500 (multiplicity 1)
N  0.000  0.000  0.500 (multiplicity 1)
F  0.000  0.500  0.000 (multiplicity 2)

Properties
- magnetization (μB per cell) = 1.02
- formation energy (no corrections) (meV per atom) = -1319
- crystal system = tetragonal

---

Entry 2:
# YCuNF2

YCuNF2 after structural relaxation (PBE-GGA, Alexandria via LeMat-Bulk).

abc: 3.845 3.845 4.165
angles: 90.00 90.00 90.00
Space group P4/mmm (No. 123)
Inequivalent atoms, fractional coordinates:
Y  0.000  0.000  0.000 (multiplicity 1)
Cu  0.500  0.500  0.500 (multiplicity 1)
N  0.500  0.500  0.000 (multiplicity 1)
F  0.000  0.500  0.500 (multiplicity 2)

Properties
- magnetization (μB per cell) = 0.00
- formation energy (no corrections) (meV per atom) = -1344
- crystal system = tetragonal

---

Entry 3:
# YCuN2F

YCuN2F after structural relaxation (PBE-GGA, Alexandria via LeMat-Bulk).

abc: 4.592 4.592 4.266
angles: 90.00 90.00 90.00
Space group P4/mmm (No. 123)
Inequivalent atoms, fractional coordinates:
Y  0.000  0.000  0.000 (multiplicity 1)
Cu  0.500  0.500  0.500 (multiplicity 1)
N  0.000  0.500  0.000 (multiplicity 2)
F  0.000  0.000  0.500 (multiplicity 1)

Properties
- magnetization (μB per cell) = 3.00
- formation energy (no corrections) (meV per atom) = 188
- crystal system = tetragonal

---

Entry 4:
# ZnCuNF2

ZnCuNF2 after structural relaxation (PBE-GGA, Alexandria via LeMat-Bulk).

abc: 4.014 4.014 3.961
angles: 90.00 90.00 90.00
Space group P4/mmm (No. 123)
Inequivalent atoms, fractional coordinates:
Zn  0.000  0.000  0.000 (multiplicity 1)
Cu  0.500  0.500  0.500 (multiplicity 1)
N  0.000  0.000  0.500 (multiplicity 1)
F  0.000  0.500  0.000 (multiplicity 2)

Properties
- magnetization (μB per cell) = 1.91
- formation energy (no corrections) (meV per atom) = -168
- crystal system = tetragonal